Computed, not measured: a geometry-optimized ZnPtAu2 structure at the PBE level of DFT.

formation enthalpy at 0 K = -0.112 eV per atom
VASP energy = -3.58 eV/atom
density of states at the Fermi level = 1.6 states/eV/cell
M_tot = 0.00 μB per formula unit

a b c (Å): 2.9329 4.8128 4.7725
angles (deg): 90.00 91.79 90.00
Fractional positions:
Zn: 0.0000 0.0000 0.0000
Pt: 0.5000 0.0000 0.5000
Au: 0.2407 0.5000 0.7527
Au: 0.7593 0.5000 0.2473

Computed, not measured: a geometry-optimized PmErBr structure at the PBE level of DFT.

VASP energy = -4.41 eV/atom
density of states at the Fermi level = 4.0 states/eV/cell
M_tot = 0.00 μB per formula unit
formation energy from raw total energies = -0.75 eV per atom
energy above the most stable polymorph in this dataset = 0.0 kJ/mol of atoms

a b c (Å): 8.2882 8.2882 5.8694
angles (deg): 90.00 90.00 153.76
Fractional positions:
Pm: 0.1343 0.8657 0.7500
Pm: 0.8657 0.1343 0.2500
Er: 0.4532 0.5468 0.7500
Er: 0.5468 0.4532 0.2500
Br: 0.1989 0.8011 0.2500
Br: 0.8011 0.1989 0.7500

Computed, not measured: a geometry-optimized Tb3Sm2Er6Zr structure at the PBE level of DFT.

formation enthalpy at 0 K = 0.048 eV per atom
VASP energy = -4.89 eV/atom
density of states at the Fermi level = 15.0 states/eV/cell
M_tot = 0.00 μB per formula unit

a b c (Å): 6.0795 6.0795 11.6018
angles (deg): 95.00 95.00 119.95
Fractional positions:
Tb: 0.0000 0.0000 0.0000
Tb: 0.3337 0.6663 0.0000
Tb: 0.6663 0.3337 0.0000
Sm: 0.1666 0.8334 0.5000
Sm: 0.8334 0.1666 0.5000
Er: 0.0917 0.4181 0.2539
Er: 0.2557 0.2557 0.7459
Er: 0.4181 0.0917 0.2539
Er: 0.5819 0.9083 0.7461
Er: 0.7443 0.7443 0.2541
Er: 0.9083 0.5819 0.7461
Zr: 0.5000 0.5000 0.5000

Computed, not measured: a geometry-optimized Y3Tm4Th structure at the PBE level of DFT.

formation enthalpy at 0 K = 0.177 eV per atom
VASP energy = -5.41 eV/atom
density of states at the Fermi level = 14.1 states/eV/cell
M_tot = 0.00 μB per formula unit
energy above the most stable polymorph in this dataset = 0.0 kJ/mol of atoms

a b c (Å): 11.7774 11.7774 6.6764
angles (deg): 106.38 106.38 16.70
Fractional positions:
Y: 0.0000 0.0000 0.0000
Y: 0.1262 0.1262 0.8676
Y: 0.8738 0.8738 0.1324
Tm: 0.1246 0.1246 0.3851
Tm: 0.2589 0.2589 0.2670
Tm: 0.7411 0.7411 0.7330
Tm: 0.8754 0.8754 0.6149
Th: 0.5000 0.5000 0.5000